[1]
The following is a GGA-PBE calculation of a geometry-optimized Pr6Nd3Y2Mg structure, from Alexandria.

Structure (POSCAR):
```
Pr6Nd3Y2Mg
1.0
6.3468 -0.0046 0.0085
-3.1759 5.4951 0.0085
-1.0801 -1.8702 11.8055
Pr Nd Y Mg
6 3 2 1
direct
0.9196 0.5882 0.7552 Pr
0.7495 0.7495 0.2464 Pr
0.0804 0.4118 0.2448 Pr
0.5882 0.9196 0.7552 Pr
0.2505 0.2505 0.7536 Pr
0.4118 0.0804 0.2448 Pr
0.1670 0.8330 0.5000 Nd
0.8330 0.1670 0.5000 Nd
0.5000 0.5000 0.5000 Nd
0.3334 0.6666 0.0000 Y
0.6666 0.3334 0.0000 Y
0.0000 0.0000 0.0000 Mg
```

Results
formation enthalpy at 0 K = 0.54 kcal/mol of atoms
magnetization = 0.000 μB/atom
N(E_F) = 15.185 states/eV/cell
uncorrected energy = -57.22 eV/cell

***

[2]
The following is a GGA-PBE calculation of a geometry-optimized ReAs2W structure, from Alexandria.

Structure (POSCAR):
```
ReAs2W
1.0
8.2167 0.0025 0.0015
7.6683 2.9515 0.0015
7.6683 1.4260 2.5842
Re As W
1 2 1
direct
0.2500 0.2500 0.2500 Re
0.9979 0.9979 0.9979 As
0.5021 0.5021 0.5021 As
0.7500 0.7500 0.7500 W
```

Results
ΔE to the lowest computed polymorph = 7.11 kcal/mol of atoms
formation enthalpy at 0 K = 9.88 kcal/mol of atoms
magnetization = 0.000 μB/atom
N(E_F) = 4.937 states/eV/cell
uncorrected energy = -32.99 eV/cell

***

[3]
The following is a GGA-PBE calculation of a geometry-optimized Tb3Pm7Tm2 structure, from Alexandria.

Structure (POSCAR):
```
Tb3Pm7Tm2
1.0
-3.2513 -0.4764 1.5077
2.4612 -2.8003 4.4229
0.7007 17.9209 7.1736
Tb Pm Tm
3 7 2
direct
0.5000 0.5000 0.0000 Tb
0.5000 0.6844 0.3688 Tb
0.5000 0.3156 0.6312 Tb
0.0000 0.4067 0.8134 Pm
0.0000 0.7679 0.5358 Pm
0.0000 0.0000 0.0000 Pm
0.0000 0.5933 0.1866 Pm
0.5000 0.0730 0.1460 Pm
0.5000 0.9270 0.8540 Pm
0.0000 0.2321 0.4642 Pm
0.0000 0.8514 0.7028 Tm
0.0000 0.1486 0.2972 Tm
```

Results
ΔE to the lowest computed polymorph = 0.81 kcal/mol of atoms
formation enthalpy at 0 K = 2.57 kcal/mol of atoms
magnetization = 0.000 μB/atom
N(E_F) = 18.684 states/eV/cell
uncorrected energy = -54.75 eV/cell

***

[4]
The following is a GGA-PBE calculation of a geometry-optimized NaSmTm2Se4 structure, from Alexandria.

Structure (POSCAR):
```
NaSmTm2Se4
1.0
-3.5483 1.4417 -1.3311
-3.4584 -4.6638 4.1680
-1.1573 3.0074 6.3424
Na Sm Tm Se
1 1 2 4
direct
0.0000 0.5000 0.5000 Na
0.5000 0.5000 0.0000 Sm
0.0000 0.0000 0.0000 Tm
0.5000 0.0000 0.5000 Tm
0.0000 0.7612 0.7430 Se
0.0000 0.2388 0.2570 Se
0.5000 0.7628 0.2463 Se
0.5000 0.2372 0.7537 Se
```

Results
magnetization = 0.000 μB/atom
N(E_F) = 2.504 states/eV/cell
raw formation energy = -1.72 eV per atom
uncorrected energy = -42.65 eV/cell

***

[5]
The following is a GGA-PBE calculation of a geometry-optimized CdSi structure, from Alexandria.

Structure (POSCAR):
```
CdSi
1.0
2.8601 0.0308 0.0000
-0.8883 2.7189 0.0000
0.0000 0.0000 10.4378
Cd Si
2 2
direct
0.0000 0.0000 0.0234 Cd
0.5000 0.5000 0.7266 Cd
0.0000 0.0000 0.4629 Si
0.5000 0.5000 0.2871 Si
```

Results
magnetization = 0.000 μB/atom
N(E_F) = 1.410 states/eV/cell
raw formation energy = 0.39 eV per atom
uncorrected energy = -11.13 eV/cell

***

[6]
The following is a GGA-PBE calculation of a geometry-optimized Tb4Nd3 structure, from Alexandria.

Structure (POSCAR):
```
Tb4Nd3
1.0
-2.1170 2.0856 2.0584
-2.7965 -2.1964 -0.6507
6.7873 -9.7080 13.6419
Tb Nd
4 3
direct
0.8588 0.8588 0.7176 Tb
0.4283 0.4283 0.8566 Tb
0.5717 0.5717 0.1434 Tb
0.1412 0.1412 0.2824 Tb
0.0000 0.0000 0.0000 Nd
0.7130 0.7130 0.4260 Nd
0.2870 0.2870 0.5740 Nd
```

Results
formation enthalpy at 0 K = 0.42 kcal/mol of atoms
magnetization = 0.000 μB/atom
N(E_F) = 9.379 states/eV/cell
uncorrected energy = -32.70 eV/cell

***

[7]
The following is a GGA-PBE calculation of a geometry-optimized NaCdPb4 structure, from Alexandria.

Structure (POSCAR):
```
NaCdPb4
1.0
5.8562 0.6453 -0.0235
0.6604 5.8547 0.0092
-3.1935 -3.2502 10.4590
Na Cd Pb
2 2 8
direct
0.7526 0.7514 0.0001 Na
0.2474 0.2486 0.9999 Na
0.5000 0.0000 0.5000 Cd
0.0000 0.5000 0.5000 Cd
0.6595 0.1639 0.8293 Pb
0.8352 0.3402 0.1707 Pb
0.3405 0.8361 0.1707 Pb
0.1648 0.6598 0.8293 Pb
0.0790 0.0794 0.6639 Pb
0.4179 0.4183 0.3360 Pb
0.9210 0.9206 0.3361 Pb
0.5821 0.5817 0.6640 Pb
```

Results
ΔE to the lowest computed polymorph = 0.00 kcal/mol of atoms
formation enthalpy at 0 K = -0.84 kcal/mol of atoms
magnetization = 0.000 μB/atom
N(E_F) = 4.954 states/eV/cell
uncorrected energy = -34.57 eV/cell

***

[8]
The following is a GGA-PBE calculation of a geometry-optimized Ho2BeHPd6 structure, from Alexandria.

Structure (POSCAR):
```
Ho2BeHPd6
1.0
-5.3446 -2.1299 -0.7627
2.4151 -5.7386 -0.5674
-1.6446 -4.8647 3.5020
Ho Be H Pd
2 1 1 6
direct
0.7591 0.2405 0.4784 Ho
0.2409 0.7595 0.5216 Ho
0.5000 0.5000 0.0000 Be
0.0000 0.0000 0.0000 H
0.2380 0.2566 0.5211 Pd
0.7449 0.7625 0.0148 Pd
0.2393 0.7609 0.0176 Pd
0.7607 0.2391 0.9825 Pd
0.2551 0.2375 0.9852 Pd
0.7620 0.7434 0.4789 Pd
```

Results
magnetization = 0.000 μB/atom
N(E_F) = 1.453 states/eV/cell
uncorrected energy = -54.94 eV/cell

***

[9]
The following is a GGA-PBE calculation of a geometry-optimized CeScBi structure, from Alexandria.

Structure (POSCAR):
```
CeScBi
1.0
-1.8375 -3.2998 1.1519
2.4131 -2.5969 -3.5899
2.0476 0.4614 4.5879
Sc Bi Ce
1 1 1
direct
0.5007 0.6667 0.3333 Sc
0.4992 0.3333 0.6667 Bi
0.0002 0.0000 0.0000 Ce
```

Results
formation enthalpy at 0 K = -7.32 kcal/mol of atoms
magnetization = 0.668 μB/atom
N(E_F) = 7.258 states/eV/cell
uncorrected energy = -17.10 eV/cell

***

[10]
The following is a GGA-PBE calculation of a geometry-optimized Rb2TlFeBr6 structure, from Alexandria.

Structure (POSCAR):
```
Rb2TlFeBr6
1.0
7.7778 0.0000 -0.0423
0.0000 7.9266 0.0000
0.0067 0.0000 11.1189
Rb Tl Fe Br
4 2 2 12
direct
0.0143 0.9451 0.2477 Rb
0.5143 0.5549 0.7477 Rb
0.9857 0.0549 0.7523 Rb
0.4857 0.4451 0.2523 Rb
0.5000 0.0000 0.0000 Tl
0.0000 0.5000 0.5000 Tl
0.5000 0.0000 0.5000 Fe
0.0000 0.5000 0.0000 Fe
0.2580 0.6748 0.0342 Br
0.7580 0.8252 0.5342 Br
0.7420 0.3252 0.9658 Br
0.2420 0.1748 0.4658 Br
0.3276 0.7421 0.4681 Br
0.8276 0.7579 0.9681 Br
0.6724 0.2579 0.5319 Br
0.1724 0.2421 0.0319 Br
0.9353 0.5067 0.2165 Br
0.4353 0.9933 0.7165 Br
0.0647 0.4933 0.7835 Br
0.5647 0.0067 0.2835 Br
```

Results
ΔE to the lowest computed polymorph = 0.00 kcal/mol of atoms
magnetization = 0.096 μB/atom
N(E_F) = 20.943 states/eV/cell
raw formation energy = -0.96 eV per atom
uncorrected energy = -64.88 eV/cell